Density functional theory data (GGA-PBE) for BeGe3Cl after structural relaxation.

```
data_BeGe3Cl
_symmetry_space_group_name_H-M 'P m -3 m'
_symmetry_Int_Tables_number 221
_symmetry_space_group_name_Hall '-P 4 2 3'
_cell_length_a 4.9231
_cell_length_b 4.9231
_cell_length_c 4.9231
_cell_angle_alpha 90.00
_cell_angle_beta 90.00
_cell_angle_gamma 90.00
loop_
_atom_site_label
_atom_site_type_symbol
_atom_site_fract_x
_atom_site_fract_y
_atom_site_fract_z
_atom_site_occupancy
Be1 Be 0.0000 0.0000 0.0000 1
Ge1 Ge 0.0000 0.5000 0.5000 1
Cl1 Cl 0.5000 0.5000 0.5000 1
```

Computed properties:
As for the formation energy (no corrections): 1.18 eV/atom. The energy above the lowest structure with this stoichiometry is 744 meV per atom. As for the crystal system: cubic. Its total energy is -2.71 eV/atom.



Density functional theory data (GGA-PBE) for NdDy2Tm3Bi6 after structural relaxation.

```
data_NdDy2Tm3Bi6
_symmetry_space_group_name_H-M 'C 1 2/m 1'
_symmetry_Int_Tables_number 12
_cell_length_a 19.5068
_cell_length_b 4.4790
_cell_length_c 8.9555
_cell_angle_alpha 90.00
_cell_angle_beta 103.17
_cell_angle_gamma 90.00
loop_
_symmetry_equiv_pos_as_xyz
'x,y,z'
'-x,-y,-z'
'-x,y,-z'
'x,-y,z'
'x+1/2,y+1/2,z'
'-x+1/2,-y+1/2,-z'
'-x+1/2,y+1/2,-z'
'x+1/2,-y+1/2,z'
loop_
_atom_site_label
_atom_site_type_symbol
_atom_site_fract_x
_atom_site_fract_y
_atom_site_fract_z
_atom_site_occupancy
Nd1 Nd 0.0000 0.0000 0.0000 1
Dy1 Dy 0.1674 0.5000 0.3332 1
Tm1 Tm 0.0000 0.0000 0.5000 1
Tm2 Tm 0.1654 0.5000 0.8319 1
Bi1 Bi 0.0000 0.5000 0.2583 1
Bi2 Bi 0.1658 0.0000 0.5844 1
Bi3 Bi 0.1700 0.0000 0.0823 1
```

Computed properties:
As for the crystal system: monoclinic. Its total energy is -5.05 eV/atom.



Density functional theory data (GGA-PBE) for Eu2LuAl after structural relaxation.

```
data_Eu2LuAl
_symmetry_space_group_name_H-M 'F m -3 m'
_symmetry_Int_Tables_number 225
_symmetry_space_group_name_Hall '-F 4 2 3'
_cell_length_a 7.7812
_cell_length_b 7.7812
_cell_length_c 7.7812
_cell_angle_alpha 90.00
_cell_angle_beta 90.00
_cell_angle_gamma 90.00
loop_
_atom_site_label
_atom_site_type_symbol
_atom_site_fract_x
_atom_site_fract_y
_atom_site_fract_z
_atom_site_occupancy
Eu1 Eu 0.2500 0.2500 0.2500 1
Lu1 Lu 0.0000 0.0000 0.0000 1
Al1 Al 0.0000 0.0000 0.5000 1
```

Computed properties:
The energy above the lowest structure with this stoichiometry is 51 meV per atom. As for the crystal system: cubic. Its total energy is -7.20 eV/atom.



no.,volume (A^3/atom),ρ (g/cm³)
1,23.86,3.7
2,31.74,9.7
3,29.45,7.1